Density functional theory data (GGA-PBE) for a geometry-optimized AsPRhAu2 structure.

**Total magnetic moment**: 0.0 μB per formula unit
**DFT formation energy**: -0.08 eV per atom
**Distance to the lowest polymorph of the same formula**: 48 meV per atom
**VASP energy**: -4.872 eV per atom
**DOS at the Fermi energy**: 1.1 states/eV/f.u.
**Calculated volume**: 18.43 A^3/atom

Lattice parameters (Å, degrees): 3.0180 3.7624 8.1161 90.00 90.00 90.00
With the nearest neighbours (Å) after each atom.
Positions (direct):
As1 0.5000 0.5000 0.1085  4 Rh 2.60, 2 Au 2.64
P1 0.5000 0.0000 0.7713  2 Rh 2.32, 2 Au 2.42
Rh1 0.0000 0.0000 0.9881  2 P 2.32
Au1 0.5000 0.0000 0.3368  2 As 2.64, 2 Au 2.75
Au2 0.5000 0.5000 0.5845  2 P 2.42

***

Density functional theory data (GGA-PBE) for a geometry-optimized Y6C2NCl2 structure.

**Total magnetic moment**: 0.0 μB per formula unit
**VASP energy**: -7.370 eV per atom
**DOS at the Fermi energy**: 4.6 states/eV/f.u.
**Calculated volume**: 20.17 A^3/atom

Lattice parameters (Å, degrees): 6.2980 6.2980 6.7937 99.07 99.07 119.85
With the nearest neighbours (Å) after each atom.
Positions (direct):
Y1 0.7295 0.7295 0.7019  2 C 2.47, 1 N 2.50
Y2 0.0731 0.3983 0.6997  1 N 2.43, 2 C 2.46-2.48
Y3 0.2705 0.2705 0.2981  2 C 2.47, 1 N 2.50
Y4 0.3983 0.0731 0.6997  1 N 2.43, 2 C 2.46-2.48
Y5 0.9269 0.6017 0.3003  1 N 2.43, 2 C 2.46-2.48
Y6 0.6017 0.9269 0.3003  1 N 2.43, 2 C 2.46-2.48
C1 0.3310 0.6690 0.5000  6 Y 2.46-2.48
C2 0.6690 0.3310 0.5000  6 Y 2.46-2.48
N1 0.0000 0.0000 0.5000  6 Y 2.43-2.50
Cl1 0.8314 0.1686 0.0000  6 Y 2.86-2.88
Cl2 0.1686 0.8314 0.0000  6 Y 2.86-2.88

***

Density functional theory data (GGA-PBE) for a geometry-optimized Nd5Te4S structure.

**Total magnetic moment**: 0.0 μB per formula unit
**VASP energy**: -5.571 eV per atom
**DOS at the Fermi energy**: 4.7 states/eV/f.u.
**Calculated volume**: 30.65 A^3/atom

Lattice parameters (Å, degrees): 4.3661 4.3661 16.3744 97.66 97.66 90.00
With the nearest neighbours (Å) after each atom.
Positions (direct):
Nd1 0.0852 0.0852 0.1704  1 S 2.74
Nd2 0.5000 0.5000 0.0000  4 S 3.09, 2 Te 3.28
Nd3 0.9148 0.9148 0.8296  1 S 2.74
Nd4 0.2895 0.2895 0.5791  6 Te 3.16-3.49
Nd5 0.7105 0.7105 0.4209  6 Te 3.16-3.49
Te1 0.3979 0.3979 0.7959  6 Nd 3.13-3.49
Te2 0.8099 0.8099 0.6198  6 Nd 3.16-3.37
Te3 0.1901 0.1901 0.3802  6 Nd 3.16-3.37
Te4 0.6021 0.6021 0.2041  6 Nd 3.13-3.49
S1 0.0000 0.0000 0.0000  2 Nd 2.74

***

Density functional theory data (GGA-PBE) for a geometry-optimized LaTe2IBr structure.

**Total magnetic moment**: 0.2 μB per formula unit
**Distance to the lowest polymorph of the same formula**: 226 meV per atom
**VASP energy**: -3.003 eV per atom
**DOS at the Fermi energy**: 4.6 states/eV/f.u.
**Calculated volume**: 36.44 A^3/atom

Lattice parameters (Å, degrees): 5.7637 5.7637 5.4841 90.00 90.00 90.00
With the nearest neighbours (Å) after each atom.
Positions (direct):
I1 0.0000 0.0000 0.5000  2 Br 2.74
Te1 0.0000 0.5000 0.0000  2 Br 2.88
Te2 0.5000 0.0000 0.0000  2 Br 2.88
Br1 0.0000 0.0000 0.0000  2 I 2.74, 4 Te 2.88
La1 0.5000 0.5000 0.5000  8 Te 3.98, 4 I 4.08

***

Which of these has the highest VASP energy? LaTe2IBr

***

Number 1 is which compound? AsPRhAu2

***

Among the records above, which one has the lowest VASP energy? Y6C2NCl2

***

Copy entry 3 word for word.
Density functional theory data (GGA-PBE) for a geometry-optimized Nd5Te4S structure.

**Total magnetic moment**: 0.0 μB per formula unit
**VASP energy**: -5.571 eV per atom
**DOS at the Fermi energy**: 4.7 states/eV/f.u.
**Calculated volume**: 30.65 A^3/atom

Lattice parameters (Å, degrees): 4.3661 4.3661 16.3744 97.66 97.66 90.00
With the nearest neighbours (Å) after each atom.
Positions (direct):
Nd1 0.0852 0.0852 0.1704  1 S 2.74
Nd2 0.5000 0.5000 0.0000  4 S 3.09, 2 Te 3.28
Nd3 0.9148 0.9148 0.8296  1 S 2.74
Nd4 0.2895 0.2895 0.5791  6 Te 3.16-3.49
Nd5 0.7105 0.7105 0.4209  6 Te 3.16-3.49
Te1 0.3979 0.3979 0.7959  6 Nd 3.13-3.49
Te2 0.8099 0.8099 0.6198  6 Nd 3.16-3.37
Te3 0.1901 0.1901 0.3802  6 Nd 3.16-3.37
Te4 0.6021 0.6021 0.2041  6 Nd 3.13-3.49
S1 0.0000 0.0000 0.0000  2 Nd 2.74